1.
Crystalline Ba2P6O17 at its relaxed geometry, computed with PBE.

abc: 18.9834 6.4876 8.0728
angles: 70.80 90.00 90.00
Atoms (fractional coordinates):
O  0.6163  0.5099  0.8505
O  0.8837  0.5099  0.3505
O  0.1678  0.8504  0.0261
O  0.6408  0.1105  0.0431
O  0.8058  0.2569  0.2401
O  0.9900  0.3210  0.2673
O  0.8322  0.1496  0.9739
O  0.6942  0.2569  0.7401
O  0.5100  0.3210  0.7673
O  0.3058  0.7431  0.2599
O  0.7329  0.4200  0.9693
O  0.3837  0.4901  0.1495
O  0.7671  0.4200  0.4693
O  0.3322  0.8504  0.5261
O  0.1942  0.7431  0.7599
O  0.3592  0.8895  0.9569
O  0.0000  0.5000  0.5000
O  0.0169  0.2557  0.8127
O  0.1432  0.4529  0.0289
O  0.5169  0.7443  0.6873
O  0.6678  0.1496  0.4739
O  0.1163  0.4901  0.6495
O  0.2671  0.5800  0.0307
O  0.3568  0.4529  0.5289
O  0.9831  0.7443  0.1873
O  0.2329  0.5800  0.5307
O  0.4831  0.2557  0.3127
O  0.8568  0.5471  0.9711
O  0.0100  0.6790  0.7327
O  0.1408  0.8895  0.4569
O  0.8592  0.1105  0.5431
O  0.4900  0.6790  0.2327
O  0.5000  0.5000  0.0000
O  0.6432  0.5471  0.4711
P  0.0309  0.4820  0.6883
P  0.9691  0.5180  0.3117
P  0.6687  0.3074  0.9083
P  0.5309  0.5180  0.8117
P  0.8313  0.3074  0.4083
P  0.6853  0.3430  0.5257
P  0.3147  0.6570  0.4743
P  0.1853  0.6570  0.9743
P  0.4691  0.4820  0.1883
P  0.1687  0.6926  0.5917
P  0.8147  0.3430  0.0257
P  0.3313  0.6926  0.0917
Ba  0.5800  0.9169  0.3488
Ba  0.4200  0.0831  0.6512
Ba  0.9200  0.9169  0.8488
Ba  0.0800  0.0831  0.1512

Computed properties:
Symmetry ... P2_1/c
DOS(E_F) ... 0.00 states/eV per atom
Crystal system ... monoclinic
E above lowest polymorph ... 0.0077 eV per atom
Raw formation energy ... -59.1 eV/f.u.

=====

2.
Crystalline Ba4PO2 at its relaxed geometry, computed with PBE.

abc: 8.2140 8.2142 8.3132
angles: 107.22 107.24 113.61
Atoms (fractional coordinates):
Ba  0.8135  0.1170  0.7307
Ba  0.8637  0.6671  0.2306
Ba  0.4596  0.6442  0.8130
Ba  0.3533  0.1687  0.8129
Ba  0.4188  0.1034  0.3130
Ba  0.8942  0.2096  0.3129
Ba  0.9172  0.6136  0.7307
Ba  0.3672  0.5636  0.2307
P  0.2644  0.7643  0.5286
P  0.0142  0.0141  0.0286
O  0.5691  0.8601  0.1921
O  0.5821  0.3730  0.6922
O  0.1099  0.3192  0.6921
O  0.6229  0.3321  0.1920

Computed properties:
Symmetry ... Fdd2
Crystal system ... orthorhombic
Raw formation energy ... -11.7 eV/f.u.

=====

3.
Crystalline BaP4O11 at its relaxed geometry, computed with PBE.

abc: 10.4317 10.3837 12.0357
angles: 110.62 109.72 86.58
Atoms (fractional coordinates):
P  0.3818  0.7763  0.0937
P  0.9323  0.1097  0.2497
P  0.3750  0.0695  0.2473
P  0.2769  0.3942  0.6003
P  0.9166  0.2668  0.0802
P  0.6250  0.9305  0.7527
P  0.6182  0.2237  0.9063
P  0.0677  0.8903  0.7503
P  0.7231  0.6058  0.3997
P  0.0834  0.7332  0.9198
P  0.0916  0.4400  0.7551
P  0.2174  0.0929  0.4223
P  0.5664  0.4000  0.7438
P  0.4336  0.6000  0.2562
P  0.7826  0.9071  0.5777
P  0.9084  0.5600  0.2449
O  0.6596  0.8909  0.6213
O  0.1929  0.4152  0.8656
O  0.9566  0.4020  0.2009
O  0.6469  0.1009  0.7970
O  0.3404  0.1091  0.3787
O  0.9125  0.9381  0.6987
O  0.2031  0.2450  0.5115
O  0.6206  0.3535  0.8685
O  0.2475  0.7453  0.9712
O  0.7525  0.2547  0.0288
O  0.1616  0.0159  0.8086
O  0.0177  0.7407  0.0125
O  0.3794  0.6465  0.1315
O  0.5963  0.5517  0.7940
O  0.2674  0.1136  0.1525
O  0.5992  0.6359  0.2940
O  0.8384  0.9841  0.1914
O  0.4784  0.8885  0.7133
O  0.6114  0.3038  0.6415
O  0.6900  0.5249  0.4667
O  0.5013  0.7962  0.0612
O  0.0434  0.5980  0.7991
O  0.7326  0.8864  0.8475
O  0.9092  0.2354  0.3470
O  0.3100  0.4751  0.5333
O  0.8071  0.5848  0.1344
O  0.2347  0.9927  0.4865
O  0.9670  0.3489  0.6714
O  0.8275  0.5353  0.3334
O  0.5216  0.1115  0.2867
O  0.0458  0.8525  0.8651
O  0.9542  0.1475  0.1349
O  0.4008  0.3641  0.7060
O  0.1725  0.4647  0.6666
O  0.4037  0.4483  0.2060
O  0.0908  0.7646  0.6530
O  0.3886  0.6962  0.3585
O  0.0875  0.0619  0.3013
O  0.0330  0.6511  0.3286
O  0.3531  0.8991  0.2030
O  0.7969  0.7550  0.4885
O  0.7653  0.0073  0.5135
O  0.4987  0.2038  0.9388
O  0.9823  0.2593  0.9875
Ba  0.7377  0.2572  0.4770
Ba  0.2603  0.2468  0.9949
Ba  0.2623  0.7428  0.5230
Ba  0.7397  0.7532  0.0051

Computed properties:
Symmetry ... P-1
DOS(E_F) ... 0.00 states/eV per atom
Crystal system ... triclinic
E above lowest polymorph ... 0.0119 eV per atom
Raw formation energy ... -36.5 eV/f.u.

=====

4.
Crystalline Ba5P3O13 at its relaxed geometry, computed with PBE.

abc: 10.2492 10.2492 7.7091
angles: 90.00 90.00 120.00
Each line ends with the local moment (μB).
Atoms (fractional coordinates):
Ba  0.6667  0.3333  0.9985  0.00
Ba  0.7598  0.7733  0.7500  0.00
Ba  0.0135  0.2402  0.7500  0.00
Ba  0.6667  0.3333  0.5015  0.00
Ba  0.2267  0.9865  0.7500  0.00
Ba  0.9865  0.7598  0.2500  0.00
Ba  0.3333  0.6667  0.4985  0.00
Ba  0.3333  0.6667  0.0015  0.00
Ba  0.2402  0.2267  0.2500  0.00
Ba  0.7733  0.0135  0.2500  0.00
O  0.3494  0.2692  0.9135  0.02
O  0.9198  0.6506  0.9135  0.02
O  0.6506  0.7308  0.0865  0.02
O  0.2692  0.9198  0.0865  0.02
O  0.0000  0.0000  0.5000  0.65
O  0.9198  0.6506  0.5865  0.02
O  0.4761  0.1457  0.2500  0.00
O  0.5239  0.8543  0.7500  0.00
O  0.3303  0.4761  0.7500  0.00
O  0.4689  0.8918  0.2500  0.01
O  0.8543  0.3303  0.2500  0.00
O  0.3494  0.2692  0.5865  0.02
O  0.1457  0.6697  0.7500  0.00
O  0.6506  0.7308  0.4135  0.02
O  0.0000  0.0000  0.0000  0.65
O  0.2692  0.9198  0.4135  0.02
O  0.4230  0.5311  0.2500  0.01
O  0.0802  0.3494  0.0865  0.02
O  0.5311  0.1082  0.7500  0.01
O  0.1082  0.5770  0.2500  0.01
O  0.7308  0.0802  0.5865  0.02
O  0.8918  0.4230  0.7500  0.01
O  0.5770  0.4689  0.7500  0.01
O  0.6697  0.5239  0.2500  0.00
O  0.7308  0.0802  0.9135  0.02
O  0.0802  0.3494  0.4135  0.02
P  0.3731  0.9715  0.2500  0.00
P  0.5984  0.6269  0.2500  0.00
P  0.9715  0.5984  0.7500  0.00
P  0.0285  0.4016  0.2500  0.00
P  0.6269  0.0285  0.7500  0.00
P  0.4016  0.3731  0.7500  0.00

Computed properties:
Symmetry ... P6_3/m
DOS(E_F) ... 0.31 states/eV per atom
Crystal system ... hexagonal
E above lowest polymorph ... 0.0076 eV per atom
Raw formation energy ... -57.9 eV/f.u.

=====

5.
Crystalline Ba7P2O2 at its relaxed geometry, computed with PBE.

abc: 8.8257 8.0642 8.8257
angles: 90.01 56.94 89.99
Each line ends with the local moment (μB).
Atoms (fractional coordinates):
Ba  0.4998  0.7423  0.0002  0.07
Ba  0.5000  0.7691  0.5000  0.01
Ba  0.5002  0.2577  0.9998  0.07
Ba  0.0002  0.2577  0.4998  0.07
Ba  0.9998  0.7423  0.5002  0.07
Ba  0.0000  0.0000  0.0000  0.02
Ba  0.5000  0.2309  0.5000  0.01
P  0.3304  0.5000  0.3304  0.01
P  0.6696  0.5000  0.6696  0.01
O  0.3024  0.0001  0.6976  0.01
O  0.6976  0.9999  0.3024  0.01

Computed properties:
Symmetry ... Cmmm
DOS(E_F) ... 0.39 states/eV per atom
Crystal system ... orthorhombic
Raw formation energy ... -12.3 eV/f.u.

=====

6.
Crystalline Ba2P6O17 at its relaxed geometry, computed with PBE.

abc: 13.7797 7.5274 7.6028
angles: 74.79 90.00 90.00
Atoms (fractional coordinates):
P  0.9664  0.6216  0.3482
P  0.2677  0.0540  0.2428
P  0.0521  0.9976  0.3206
P  0.7549  0.6210  0.3473
P  0.0603  0.5936  0.0096
P  0.2426  0.4685  0.2347
P  0.5603  0.4064  0.9904
P  0.4664  0.3784  0.6518
P  0.2549  0.3790  0.6527
P  0.7426  0.5315  0.7653
P  0.7677  0.9460  0.7572
P  0.5521  0.0024  0.6794
O  0.9752  0.0782  0.1828
O  0.2314  0.4766  0.4392
O  0.8215  0.9697  0.9206
O  0.0297  0.4766  0.8909
O  0.8633  0.7150  0.3601
O  0.1344  0.4712  0.1665
O  0.1904  0.2155  0.7186
O  0.7805  0.7286  0.7592
O  0.7998  0.0570  0.5736
O  0.6534  0.9663  0.7936
O  0.8053  0.3814  0.8697
O  0.2805  0.2714  0.2408
O  0.1534  0.0337  0.2064
O  0.2627  0.5283  0.7457
O  0.5608  0.9607  0.5001
O  0.7627  0.4717  0.2543
O  0.3053  0.6186  0.1303
O  0.9693  0.6078  0.1436
O  0.4797  0.5555  0.5152
O  0.6344  0.5288  0.8335
O  0.9797  0.4445  0.4848
O  0.6904  0.7845  0.2814
O  0.5297  0.5234  0.1091
O  0.0608  0.0393  0.4999
O  0.2998  0.9430  0.4264
O  0.0443  0.7694  0.3649
O  0.5443  0.2306  0.6351
O  0.4693  0.3922  0.8564
O  0.0993  0.7843  0.9342
O  0.5993  0.2157  0.0658
O  0.3633  0.2850  0.6399
O  0.3215  0.0303  0.0794
O  0.7314  0.5234  0.5608
O  0.4752  0.9218  0.8172
Ba  0.7796  0.1296  0.2117
Ba  0.9939  0.1675  0.7864
Ba  0.4939  0.8325  0.2136
Ba  0.2796  0.8704  0.7883

Computed properties:
Symmetry ... P2_1
DOS(E_F) ... 0.00 states/eV per atom
Crystal system ... monoclinic
E above lowest polymorph ... 0.0000 eV per atom
Raw formation energy ... -59.3 eV/f.u.

=====

7.
Crystalline Ba2PO at its relaxed geometry, computed with PBE.

abc: 7.4977 7.4977 6.9363
angles: 57.28 57.28 90.00
Each line ends with the local moment (μB).
Atoms (fractional coordinates):
P  0.7500  0.2500  0.5000  0.37
P  0.0000  0.0000  0.0000  0.38
O  0.5000  0.5000  0.0000  0.03
O  0.2500  0.7500  0.5000  0.03
Ba  0.5554  0.1250  0.2500  0.02
Ba  0.8750  0.8054  0.7500  0.03
Ba  0.3750  0.4446  0.7500  0.03
Ba  0.1946  0.6250  0.2500  0.02

Computed properties:
Symmetry ... I-42d
DOS(E_F) ... 0.13 states/eV per atom
Crystal system ... tetragonal
E above lowest polymorph ... 0.0000 eV per atom
Raw formation energy ... -5.8 eV/f.u.

=====

8.
Crystalline BaPO4 at its relaxed geometry, computed with PBE.

abc: 5.2233 5.2233 7.0509
angles: 90.00 90.00 90.00
Each line ends with the local moment (μB).
Atoms (fractional coordinates):
O  0.5000  0.2600  0.6291  0.23
O  0.2400  0.0000  0.1291  0.23
O  0.0000  0.2400  0.8709  0.23
O  0.7400  0.5000  0.3709  0.23
O  0.5000  0.7400  0.6291  0.23
O  0.0000  0.7600  0.8709  0.23
O  0.2600  0.5000  0.3709  0.23
O  0.7600  0.0000  0.1291  0.23
Ba  0.5000  0.5000  0.0000  -0.01
Ba  0.0000  0.0000  0.5000  -0.01
P  0.0000  0.0000  0.0000  -0.02
P  0.5000  0.5000  0.5000  -0.02

Computed properties:
Symmetry ... P4_2/nmc
DOS(E_F) ... 0.57 states/eV per atom
Crystal system ... tetragonal
Raw formation energy ... -14.2 eV/f.u.